1.
PBE LiZr2W, relaxed; space group = Pm, No. 6; calculated density = 8.045 g/cm3; energy = -7.68 eV per atom; ΔH_f (0 K) = 0.313 eV per atom
1.0
2.756 0.000 0.000
0.000 5.035 0.000
-0.813 0.000 5.550
Li Zr W
1 2 1
Direct
0.000 0.000 0.000
0.353 0.500 0.788
0.597 0.000 0.470
0.927 0.500 0.292

2.
PBE TbPuN3, relaxed; raw formation energy = -1.0241 eV per atom; space group = Pnma, No. 62; calculated density = 11.247 g/cm3; energy = -9.81 eV per atom
1.0
6.142 0.000 0.000
0.000 3.407 0.000
0.000 0.000 12.559
Tb Pu N
4 4 12
Direct
0.152 0.250 0.206
0.348 0.750 0.706
0.652 0.250 0.294
0.848 0.750 0.794
0.236 0.750 0.454
0.264 0.250 0.954
0.736 0.750 0.046
0.764 0.250 0.546
0.027 0.250 0.403
0.143 0.750 0.047
0.153 0.250 0.794
0.347 0.750 0.294
0.357 0.250 0.547
0.473 0.750 0.903
0.527 0.250 0.097
0.643 0.750 0.453
0.653 0.250 0.706
0.847 0.750 0.206
0.857 0.250 0.953
0.973 0.750 0.597

3.
PBE Mg3Si4, relaxed; raw formation energy = 0.0957 eV per atom; space group = P1, No. 1; distance to the lowest polymorph of the same formula = 0.044 eV per atom; calculated density = 2.388 g/cm3; energy = -3.69 eV per atom
1.0
5.240 0.000 0.000
0.410 6.380 0.000
0.681 3.116 7.706
Mg Si
6 8
Direct
0.000 0.000 0.000
0.055 0.435 0.098
0.275 0.480 0.409
0.534 0.759 0.971
0.625 0.658 0.630
0.769 0.183 0.594
0.049 0.768 0.781
0.133 0.412 0.747
0.268 0.022 0.522
0.348 0.939 0.252
0.511 0.219 0.892
0.562 0.291 0.154
0.777 0.654 0.305
0.887 0.003 0.336

4.
PBE InIrI, relaxed; raw formation energy = 0.1163 eV per atom; space group = Cm, No. 8; distance to the lowest polymorph of the same formula = 0.128 eV per atom; calculated density = 9.025 g/cm3; energy = -4.27 eV per atom
1.0
3.500 -3.920 0.000
3.500 3.920 0.000
-3.341 0.000 5.820
In Ir I
2 2 2
Direct
0.198 0.802 0.000
0.802 0.198 0.000
0.329 0.329 0.029
0.615 0.615 0.839
0.174 0.174 0.576
0.639 0.639 0.461

5.
PBE RbBr4Cl, relaxed; raw formation energy = -0.5321 eV per atom; space group = I4_1/a, No. 88; calculated density = 2.515 g/cm3; energy = -2.12 eV per atom
1.0
-2.414 2.414 24.951
2.414 -2.414 24.951
2.414 2.414 -24.951
Rb Br Cl
2 8 2
Direct
0.375 0.125 0.250
0.625 0.875 0.750
0.133 0.210 0.423
0.210 0.633 0.423
0.287 0.710 0.077
0.290 0.213 0.923
0.710 0.787 0.077
0.713 0.290 0.923
0.790 0.367 0.577
0.867 0.790 0.577
0.125 0.375 0.750
0.875 0.625 0.250

6.
PBE KMn2N, relaxed; raw formation energy = 0.2061 eV per atom; space group = Fd-3m, No. 227; calculated density = 2.987 g/cm3; energy = -6.73 eV per atom
1.0
0.000 4.492 4.492
4.492 0.000 4.492
4.492 4.492 0.000
K Mn N
2 4 2
Direct
0.125 0.125 0.125
0.875 0.875 0.875
0.000 0.500 0.500
0.500 0.000 0.500
0.500 0.500 0.000
0.500 0.500 0.500
0.375 0.375 0.375
0.625 0.625 0.625